First-principles (PBE) data for ZrAs2Pd after structural relaxation, as listed in Alexandria.

- ΔH_f (0 K) (eV per formula unit) = -1.7
- N(E_F) (states/eV/atom) = 0.558
- calculated density (Mg/m³) = 7.53

Cell: 5.871 5.871 5.871 Å, 105.47 105.47 117.81°
Fractional positions:
Zr 0.000 0.000 0.000
Zr 0.750 0.250 0.500
As 0.155 0.625 0.030
As 0.375 0.405 0.530
As 0.595 0.125 0.970
As 0.875 0.845 0.470
Pd 0.250 0.750 0.500
Pd 0.500 0.500 0.000